# Sc3GePb GGA-PBE optimized geometry
# **Space-group type**: No. 38
# **Energy above the lowest structure with this stoichiometry**: 0.0000 eV/atom
# **DOS at the Fermi energy**: 0.869 states/eV/atom
# **DFT total energy**: -58.6 eV per cell
data_Sc3GePb
_chemical_formula_sum 'Sc6 Ge2 Pb2'
_cell_length_a 3.793
_cell_length_b 8.384
_cell_length_c 8.384
_cell_angle_alpha 70.10
_cell_angle_beta 90.00
_cell_angle_gamma 90.00
_symmetry_space_group_name_H-M 'P 1'
_symmetry_Int_Tables_number 1
_symmetry_space_group_name_Hall 'P 1'
loop_
_atom_site_label
_atom_site_type_symbol
_atom_site_fract_x
_atom_site_fract_y
_atom_site_fract_z
_atom_site_occupancy
Pb1 Pb 0.363 0.694 0.746 1
Pb2 Pb 0.863 0.194 0.247 1
Ge1 Ge 0.364 0.194 0.747 1
Ge2 Ge 0.363 0.694 0.246 1
Sc1 Sc 0.863 0.623 0.061 1
Sc2 Sc 0.864 0.380 0.817 1
Sc3 Sc 0.363 0.018 0.070 1
Sc4 Sc 0.363 0.371 0.423 1
Sc5 Sc 0.863 0.765 0.432 1
Sc6 Sc 0.864 0.008 0.675 1

---

# GaGe2Pt8 GGA-PBE optimized geometry
# **Space-group type**: No. 12
# **DOS at the Fermi energy**: 0.494 states/eV/atom
# **DFT total energy**: -64.1 eV per cell
data_GaGe2Pt8
_chemical_formula_sum 'Ga1 Ge2 Pt8'
_cell_length_a 3.898
_cell_length_b 5.738
_cell_length_c 8.337
_cell_angle_alpha 102.67
_cell_angle_beta 103.52
_cell_angle_gamma 90.00
_symmetry_space_group_name_H-M 'P 1'
_symmetry_Int_Tables_number 1
_symmetry_space_group_name_Hall 'P 1'
loop_
_atom_site_label
_atom_site_type_symbol
_atom_site_fract_x
_atom_site_fract_y
_atom_site_fract_z
_atom_site_occupancy
Pt1 Pt 0.029 0.743 0.057 1
Pt2 Pt 0.402 0.578 0.803 1
Pt3 Pt 0.598 0.422 0.197 1
Pt4 Pt 0.783 0.687 0.566 1
Pt5 Pt 0.654 0.978 0.308 1
Pt6 Pt 0.217 0.313 0.434 1
Pt7 Pt 0.346 0.022 0.692 1
Pt8 Pt 0.971 0.257 0.943 1
Ge1 Ge 0.181 0.716 0.362 1
Ge2 Ge 0.819 0.284 0.638 1
Ga1 Ga 0.500 0.000 0.000 1

---

# Sm2YAg GGA-PBE optimized geometry
# **Space-group type**: No. 160
# **Energy above the lowest structure with this stoichiometry**: 0.1229 eV/atom
# **DOS at the Fermi energy**: 1.301 states/eV/atom
# **DFT total energy**: -18.8 eV per cell
data_Sm2YAg
_chemical_formula_sum 'Sm2 Y1 Ag1'
_cell_length_a 3.640
_cell_length_b 3.640
_cell_length_c 10.752
_cell_angle_alpha 80.25
_cell_angle_beta 80.25
_cell_angle_gamma 60.00
_symmetry_space_group_name_H-M 'P 1'
_symmetry_Int_Tables_number 1
_symmetry_space_group_name_Hall 'P 1'
loop_
_atom_site_label
_atom_site_type_symbol
_atom_site_fract_x
_atom_site_fract_y
_atom_site_fract_z
_atom_site_occupancy
Ag1 Ag 0.667 0.667 0.999 1
Y1 Y 0.500 0.500 0.501 1
Sm1 Sm 0.075 0.075 0.774 1
Sm2 Sm 0.258 0.258 0.226 1

---

# LiGa6Cu2 GGA-PBE optimized geometry
# **Space-group type**: No. 71
# **Energy above the lowest structure with this stoichiometry**: 0.0218 eV/atom
# **DOS at the Fermi energy**: 0.284 states/eV/atom
# **DFT total energy**: -58.1 eV per cell
data_LiGa6Cu2
_chemical_formula_sum 'Li2 Ga12 Cu4'
_cell_length_a 7.300
_cell_length_b 7.300
_cell_length_c 7.300
_cell_angle_alpha 100.33
_cell_angle_beta 113.68
_cell_angle_gamma 114.77
_symmetry_space_group_name_H-M 'P 1'
_symmetry_Int_Tables_number 1
_symmetry_space_group_name_Hall 'P 1'
loop_
_atom_site_label
_atom_site_type_symbol
_atom_site_fract_x
_atom_site_fract_y
_atom_site_fract_z
_atom_site_occupancy
Cu1 Cu 0.668 0.000 0.668 1
Cu2 Cu 0.332 0.000 0.332 1
Cu3 Cu 0.500 0.634 0.134 1
Cu4 Cu 0.500 0.366 0.866 1
Ga1 Ga 0.909 0.707 0.202 1
Ga2 Ga 0.797 0.253 0.050 1
Ga3 Ga 0.203 0.747 0.950 1
Ga4 Ga 0.797 0.747 0.544 1
Ga5 Ga 0.505 0.707 0.798 1
Ga6 Ga 0.495 0.293 0.202 1
Ga7 Ga 0.279 0.608 0.329 1
Ga8 Ga 0.721 0.049 0.329 1
Ga9 Ga 0.721 0.392 0.671 1
Ga10 Ga 0.279 0.951 0.671 1
Ga11 Ga 0.203 0.253 0.456 1
Ga12 Ga 0.091 0.293 0.798 1
Li1 Li 0.000 0.000 0.000 1
Li2 Li 0.000 0.500 0.500 1

---

# BaCe2Os GGA-PBE optimized geometry
# **Space-group type**: No. 166
# **Energy above the lowest structure with this stoichiometry**: 0.0072 eV/atom
# **DOS at the Fermi energy**: 2.771 states/eV/atom
# **DFT total energy**: -24.6 eV per cell
data_BaCe2Os
_chemical_formula_sum 'Ba1 Ce2 Os1'
_cell_length_a 4.055
_cell_length_b 4.055
_cell_length_c 10.803
_cell_angle_alpha 79.18
_cell_angle_beta 79.18
_cell_angle_gamma 60.00
_symmetry_space_group_name_H-M 'P 1'
_symmetry_Int_Tables_number 1
_symmetry_space_group_name_Hall 'P 1'
loop_
_atom_site_label
_atom_site_type_symbol
_atom_site_fract_x
_atom_site_fract_y
_atom_site_fract_z
_atom_site_occupancy
Ce1 Ce 0.880 0.880 0.360 1
Ce2 Ce 0.120 0.120 0.640 1
Os1 Os 0.500 0.500 0.500 1
Ba1 Ba 0.000 0.000 0.000 1

---

# KHg2W GGA-PBE optimized geometry
# **Space-group type**: No. 99
# **Energy above the lowest structure with this stoichiometry**: 0.2807 eV/atom
# **DOS at the Fermi energy**: 0.626 states/eV/atom
# **DFT total energy**: -10.8 eV per cell
data_KHg2W
_chemical_formula_sum 'K1 Hg2 W1'
_cell_length_a 3.840
_cell_length_b 3.840
_cell_length_c 7.938
_cell_angle_alpha 90.00
_cell_angle_beta 90.00
_cell_angle_gamma 90.00
_symmetry_space_group_name_H-M 'P 1'
_symmetry_Int_Tables_number 1
_symmetry_space_group_name_Hall 'P 1'
loop_
_atom_site_label
_atom_site_type_symbol
_atom_site_fract_x
_atom_site_fract_y
_atom_site_fract_z
_atom_site_occupancy
Hg1 Hg 0.500 0.500 0.214 1
Hg2 Hg 0.000 0.000 0.928 1
K1 K 0.000 0.000 0.502 1
W1 W 0.500 0.500 0.855 1

---

# Li6SnBi GGA-PBE optimized geometry
# **Space-group type**: No. 187
# **DOS at the Fermi energy**: 0.319 states/eV/atom
# **DFT total energy**: -22.4 eV per cell
data_Li6SnBi
_chemical_formula_sum 'Li6 Sn1 Bi1'
_cell_length_a 4.866
_cell_length_b 6.031
_cell_length_c 6.031
_cell_angle_alpha 120.03
_cell_angle_beta 90.00
_cell_angle_gamma 90.00
_symmetry_space_group_name_H-M 'P 1'
_symmetry_Int_Tables_number 1
_symmetry_space_group_name_Hall 'P 1'
loop_
_atom_site_label
_atom_site_type_symbol
_atom_site_fract_x
_atom_site_fract_y
_atom_site_fract_z
_atom_site_occupancy
Li1 Li 0.000 0.578 0.422 1
Li2 Li 0.500 0.926 0.601 1
Li3 Li 0.000 0.093 0.422 1
Li4 Li 0.500 0.926 0.074 1
Li5 Li 0.000 0.578 0.907 1
Li6 Li 0.500 0.399 0.074 1
Sn1 Sn 0.000 0.083 0.917 1
Bi1 Bi 0.500 0.417 0.583 1

---

# Tb6Pr2Y3 GGA-PBE optimized geometry
# **Space-group type**: No. 139
# **Energy above the lowest structure with this stoichiometry**: 0.0807 eV/atom
# **DOS at the Fermi energy**: 1.485 states/eV/atom
# **DFT total energy**: -53.9 eV per cell
data_Tb6Pr2Y3
_chemical_formula_sum 'Tb6 Pr2 Y3'
_cell_length_a 4.777
_cell_length_b 4.777
_cell_length_c 17.033
_cell_angle_alpha 98.06
_cell_angle_beta 98.06
_cell_angle_gamma 90.00
_symmetry_space_group_name_H-M 'P 1'
_symmetry_Int_Tables_number 1
_symmetry_space_group_name_Hall 'P 1'
loop_
_atom_site_label
_atom_site_type_symbol
_atom_site_fract_x
_atom_site_fract_y
_atom_site_fract_z
_atom_site_occupancy
Tb1 Tb 0.378 0.878 0.757 1
Tb2 Tb 0.622 0.122 0.243 1
Tb3 Tb 0.878 0.378 0.757 1
Tb4 Tb 0.122 0.622 0.243 1
Tb5 Tb 0.694 0.694 0.388 1
Tb6 Tb 0.306 0.306 0.612 1
Y1 Y 0.000 0.000 0.000 1
Y2 Y 0.203 0.203 0.405 1
Y3 Y 0.797 0.797 0.595 1
Pr1 Pr 0.546 0.546 0.093 1
Pr2 Pr 0.454 0.454 0.907 1

---

Among the records above, which one has the lowest DFT total energy? GaGe2Pt8